# 1
Density functional theory data (GGA-PBEsol) for Sc2WNCl after structural relaxation.

CIF file:
```
data_Sc2WNCl
_space_group_name_H-M_alt 'P 4/m m m'
_space_group_IT_number 123
_space_group_name_Hall '-P 4 2'
_cell_length_a 5.0777
_cell_length_b 5.0777
_cell_length_c 4.3106
_cell_angle_alpha 90.00
_cell_angle_beta 90.00
_cell_angle_gamma 90.00
loop_
_atom_site_label
_atom_site_fract_x
_atom_site_fract_y
_atom_site_fract_z
_atom_site_occupancy
Sc1 0.0000 0.5000 0.0000 1
W1 0.0000 0.0000 0.0000 1
N1 0.5000 0.5000 0.5000 1
Cl1 0.0000 0.0000 0.5000 1
```

## Properties
Uncorrected energy (eV per cell): -31.26
DOS(E_F) (states/eV per cell): 4.967

***

# 2
Density functional theory data (GGA-PBEsol) for MnCoIr2 after structural relaxation.

CIF file:
```
data_MnCoIr2
_space_group_name_H-M_alt 'I -4 m 2'
_space_group_IT_number 119
_space_group_name_Hall 'I -4 -2'
_cell_length_a 3.6463
_cell_length_b 3.6463
_cell_length_c 7.4662
_cell_angle_alpha 90.00
_cell_angle_beta 90.00
_cell_angle_gamma 90.00
loop_
_atom_site_label
_atom_site_fract_x
_atom_site_fract_y
_atom_site_fract_z
_atom_site_occupancy
Mn1 0.0000 0.0000 0.0000 1
Co1 0.0000 0.5000 0.2500 1
Ir1 0.0000 0.0000 0.5000 1
Ir2 0.0000 0.5000 0.7500 1
```

## Properties
Uncorrected energy (eV per cell): -74.97
DOS(E_F) (states/eV per cell): 8.362
Energy relative to the elements (meV per atom): -85

***

# 3
Density functional theory data (GGA-PBEsol) for BaIr2Au after structural relaxation.

CIF file:
```
data_BaIr2Au
_space_group_name_H-M_alt 'F -4 3 m'
_space_group_IT_number 216
_space_group_name_Hall 'F -4 2 3'
_cell_length_a 6.8124
_cell_length_b 6.8124
_cell_length_c 6.8124
_cell_angle_alpha 90.00
_cell_angle_beta 90.00
_cell_angle_gamma 90.00
loop_
_atom_site_label
_atom_site_fract_x
_atom_site_fract_y
_atom_site_fract_z
_atom_site_occupancy
Ba1 0.0000 0.0000 0.0000 1
Ir1 0.0000 0.0000 0.5000 1
Ir2 0.2500 0.2500 0.2500 1
Au1 0.2500 0.2500 0.7500 1
```

## Properties
Uncorrected energy (eV per cell): -90.00
DOS(E_F) (states/eV per cell): 26.121
Energy relative to the elements (meV per atom): 805

***

# 4
Density functional theory data (GGA-PBEsol) for CoSiAs4 after structural relaxation.

CIF file:
```
data_CoSiAs4
_space_group_name_H-M_alt 'F -4 3 m'
_space_group_IT_number 216
_space_group_name_Hall 'F -4 2 3'
_cell_length_a 7.5897
_cell_length_b 7.5897
_cell_length_c 7.5897
_cell_angle_alpha 90.00
_cell_angle_beta 90.00
_cell_angle_gamma 90.00
loop_
_atom_site_label
_atom_site_fract_x
_atom_site_fract_y
_atom_site_fract_z
_atom_site_occupancy
Co1 0.0000 0.0000 0.0000 1
Si1 0.2500 0.2500 0.2500 1
As1 0.1247 0.1247 0.6247 1
```

## Properties
Uncorrected energy (eV per cell): -114.98
DOS(E_F) (states/eV per cell): 27.541

***

# 5
Density functional theory data (GGA-PBEsol) for KScAlPd2 after structural relaxation.

CIF file:
```
data_KScAlPd2
_space_group_name_H-M_alt 'P 4/m m m'
_space_group_IT_number 123
_space_group_name_Hall '-P 4 2'
_cell_length_a 4.7383
_cell_length_b 4.7383
_cell_length_c 5.1417
_cell_angle_alpha 90.00
_cell_angle_beta 90.00
_cell_angle_gamma 90.00
loop_
_atom_site_label
_atom_site_fract_x
_atom_site_fract_y
_atom_site_fract_z
_atom_site_occupancy
K1 0.0000 0.0000 0.0000 1
Sc1 0.5000 0.5000 0.0000 1
Al1 0.5000 0.5000 0.5000 1
Pd1 0.0000 0.5000 0.5000 1
```

## Properties
Uncorrected energy (eV per cell): -22.40
DOS(E_F) (states/eV per cell): 6.736
Energy relative to the elements (meV per atom): 270

***

# 6
Density functional theory data (GGA-PBEsol) for CdI2NCl after structural relaxation.

CIF file:
```
data_CdI2NCl
_space_group_name_H-M_alt 'P 4/m m m'
_space_group_IT_number 123
_space_group_name_Hall '-P 4 2'
_cell_length_a 5.8864
_cell_length_b 5.8864
_cell_length_c 4.2087
_cell_angle_alpha 90.00
_cell_angle_beta 90.00
_cell_angle_gamma 90.00
loop_
_atom_site_label
_atom_site_fract_x
_atom_site_fract_y
_atom_site_fract_z
_atom_site_occupancy
Cd1 0.0000 0.0000 0.0000 1
I1 0.0000 0.5000 0.0000 1
N1 0.0000 0.0000 0.5000 1
Cl1 0.5000 0.5000 0.5000 1
```

## Properties
Uncorrected energy (eV per cell): -10.93
DOS(E_F) (states/eV per cell): 5.331

***

# 7
Density functional theory data (GGA-PBEsol) for LiTiP4O12 after structural relaxation.

CIF file:
```
data_LiTiP4O12
_space_group_name_H-M_alt 'C 1 2/c 1'
_space_group_IT_number 15
_cell_length_a 15.4502
_cell_length_b 7.3016
_cell_length_c 9.6846
_cell_angle_alpha 90.00
_cell_angle_beta 122.79
_cell_angle_gamma 90.00
loop_
_space_group_symop_operation_xyz
'x,y,z'
'-x,-y,-z'
'-x,y,-z+1/2'
'x,-y,z+1/2'
'x+1/2,y+1/2,z'
'-x+1/2,-y+1/2,-z'
'-x+1/2,y+1/2,-z+1/2'
'x+1/2,-y+1/2,z+1/2'
loop_
_atom_site_label
_atom_site_fract_x
_atom_site_fract_y
_atom_site_fract_z
_atom_site_occupancy
Li1 0.0000 0.1948 0.2500 1
Ti1 0.0000 0.3631 0.7500 1
P1 0.1301 0.0806 0.6374 1
P2 0.1371 0.3287 0.1665 1
O1 0.0698 0.4171 0.2161 1
O2 0.0738 0.0792 0.4564 1
O3 0.0976 0.2059 0.7244 1
O4 0.1098 0.3558 0.9946 1
O5 0.1388 0.1189 0.2137 1
O6 0.2490 0.1131 0.7037 1
```

## Properties
Uncorrected energy (eV per cell): -549.13
DOS(E_F) (states/eV per cell): 27.773

***

# 8
Density functional theory data (GGA-PBEsol) for CuAg2NO after structural relaxation.

CIF file:
```
data_CuAg2NO
_space_group_name_H-M_alt 'P 4/m m m'
_space_group_IT_number 123
_space_group_name_Hall '-P 4 2'
_cell_length_a 4.8179
_cell_length_b 4.8179
_cell_length_c 3.3346
_cell_angle_alpha 90.00
_cell_angle_beta 90.00
_cell_angle_gamma 90.00
loop_
_atom_site_label
_atom_site_fract_x
_atom_site_fract_y
_atom_site_fract_z
_atom_site_occupancy
Cu1 0.0000 0.0000 0.0000 1
Ag1 0.0000 0.5000 0.0000 1
N1 0.0000 0.0000 0.5000 1
O1 0.5000 0.5000 0.5000 1
```

## Properties
Uncorrected energy (eV per cell): -19.46
DOS(E_F) (states/eV per cell): 2.667

***

# 9
Density functional theory data (GGA-PBEsol) for SrLa2Pb after structural relaxation.

CIF file:
```
data_SrLa2Pb
_space_group_name_H-M_alt 'P 4 m m'
_space_group_IT_number 99
_cell_length_a 4.2335
_cell_length_b 4.2335
_cell_length_c 7.6625
_cell_angle_alpha 90.00
_cell_angle_beta 90.00
_cell_angle_gamma 90.00
loop_
_space_group_symop_operation_xyz
'x,y,z'
'-y,x,z'
'-x,-y,z'
'y,-x,z'
'-x,y,z'
'y,x,z'
'x,-y,z'
'-y,-x,z'
loop_
_atom_site_label
_atom_site_fract_x
_atom_site_fract_y
_atom_site_fract_z
_atom_site_occupancy
Sr1 0.0000 0.0000 0.0000 1
La1 0.0000 0.0000 0.5449 1
La2 0.5000 0.5000 0.3391 1
Pb1 0.5000 0.5000 0.7593 1
```

## Properties
Uncorrected energy (eV per cell): -17.52
DOS(E_F) (states/eV per cell): 4.091
Energy relative to the elements (meV per atom): -248

***

# 10
Density functional theory data (GGA-PBEsol) for Hf2TlSb after structural relaxation.

CIF file:
```
data_Hf2TlSb
_space_group_name_H-M_alt 'F m -3 m'
_space_group_IT_number 225
_space_group_name_Hall '-F 4 2 3'
_cell_length_a 6.9988
_cell_length_b 6.9988
_cell_length_c 6.9988
_cell_angle_alpha 90.00
_cell_angle_beta 90.00
_cell_angle_gamma 90.00
loop_
_atom_site_label
_atom_site_fract_x
_atom_site_fract_y
_atom_site_fract_z
_atom_site_occupancy
Hf1 0.2500 0.2500 0.2500 1
Tl1 0.0000 0.0000 0.0000 1
Sb1 0.0000 0.0000 0.5000 1
```

## Properties
Uncorrected energy (eV per cell): -113.73
DOS(E_F) (states/eV per cell): 10.612

***

# 11
Density functional theory data (GGA-PBEsol) for Y2TcAu after structural relaxation.

CIF file:
```
data_Y2TcAu
_space_group_name_H-M_alt 'F -4 3 m'
_space_group_IT_number 216
_space_group_name_Hall 'F -4 2 3'
_cell_length_a 6.8072
_cell_length_b 6.8072
_cell_length_c 6.8072
_cell_angle_alpha 90.00
_cell_angle_beta 90.00
_cell_angle_gamma 90.00
loop_
_atom_site_label
_atom_site_fract_x
_atom_site_fract_y
_atom_site_fract_z
_atom_site_occupancy
Y1 0.0000 0.0000 0.0000 1
Y2 0.2500 0.2500 0.2500 1
Tc1 0.0000 0.0000 0.5000 1
Au1 0.2500 0.2500 0.7500 1
```

## Properties
Uncorrected energy (eV per cell): -114.53
DOS(E_F) (states/eV per cell): 16.105
Energy relative to the elements (meV per atom): 51

***

# 12
Density functional theory data (GGA-PBEsol) for CdSbTe2H after structural relaxation.

CIF file:
```
data_CdSbTe2H
_space_group_name_H-M_alt 'P 4/m m m'
_space_group_IT_number 123
_space_group_name_Hall '-P 4 2'
_cell_length_a 5.3686
_cell_length_b 5.3686
_cell_length_c 3.8226
_cell_angle_alpha 90.00
_cell_angle_beta 90.00
_cell_angle_gamma 90.00
loop_
_atom_site_label
_atom_site_fract_x
_atom_site_fract_y
_atom_site_fract_z
_atom_site_occupancy
Cd1 0.0000 0.0000 0.0000 1
Sb1 0.5000 0.5000 0.0000 1
Te1 0.0000 0.5000 0.5000 1
H1 0.5000 0.5000 0.5000 1
```

## Properties
Uncorrected energy (eV per cell): -14.45
DOS(E_F) (states/eV per cell): 3.590

***

# 13
Density functional theory data (GGA-PBEsol) for BaTl5 after structural relaxation.

CIF file:
```
data_BaTl5
_space_group_name_H-M_alt 'C 1 2/m 1'
_space_group_IT_number 12
_cell_length_a 11.0496
_cell_length_b 4.8050
_cell_length_c 7.2860
_cell_angle_alpha 90.00
_cell_angle_beta 109.80
_cell_angle_gamma 90.00
loop_
_space_group_symop_operation_xyz
'x,y,z'
'-x,-y,-z'
'-x,y,-z'
'x,-y,z'
'x+1/2,y+1/2,z'
'-x+1/2,-y+1/2,-z'
'-x+1/2,y+1/2,-z'
'x+1/2,-y+1/2,z'
loop_
_atom_site_label
_atom_site_fract_x
_atom_site_fract_y
_atom_site_fract_z
_atom_site_occupancy
Ba1 0.0000 0.0000 0.0000 1
Tl1 0.0000 0.0000 0.5000 1
Tl2 0.1576 0.5000 0.7948 1
Tl3 0.1817 0.5000 0.3453 1
```

## Properties
Uncorrected energy (eV per cell): -32.99
Offset from the most stable computed form (meV/atom): 0
DOS(E_F) (states/eV per cell): 6.564
Energy relative to the elements (meV per atom): -199

***

# 14
Density functional theory data (GGA-PBEsol) for ZnTe2As after structural relaxation.

CIF file:
```
data_ZnTe2As
_space_group_name_H-M_alt 'F -4 3 m'
_space_group_IT_number 216
_space_group_name_Hall 'F -4 2 3'
_cell_length_a 7.1023
_cell_length_b 7.1023
_cell_length_c 7.1023
_cell_angle_alpha 90.00
_cell_angle_beta 90.00
_cell_angle_gamma 90.00
loop_
_atom_site_label
_atom_site_fract_x
_atom_site_fract_y
_atom_site_fract_z
_atom_site_occupancy
Zn1 0.0000 0.0000 0.0000 1
Te1 0.0000 0.0000 0.5000 1
Te2 0.2500 0.2500 0.7500 1
As1 0.2500 0.2500 0.2500 1
```

## Properties
Uncorrected energy (eV per cell): -48.83
Offset from the most stable computed form (meV/atom): 338
DOS(E_F) (states/eV per cell): 11.636